Entry 1:
V2IrPd | PBE | optimized geometry

Unit cell a=2.727 b=2.727 c=7.592 alpha=90.00 beta=90.00 gamma=90.00
Space group P4/mmm (No. 123)
Asymmetric unit:
V: 0.000 0.000 0.241 [2 per cell]
Ir: 0.500 0.500 0.000 [1 per cell]
Pd: 0.500 0.500 0.500 [1 per cell]

Summary:
Its volume is 56.4 Å³/cell. The calculation puts the formation energy at -373 meV per atom.



Entry 2:
V2IrPd | PBE | optimized geometry

Unit cell a=6.823 b=6.823 c=5.342 alpha=90.00 beta=90.00 gamma=90.00
Space group I-42d (No. 122)
Asymmetric unit:
V: 0.233 0.250 0.125 [8 per cell]
Ir: 0.000 0.000 0.000 [4 per cell]
Pd: 0.000 0.000 0.500 [4 per cell]

Summary:
Its volume is 248.7 Å³/cell. The calculation puts the formation energy at 175 meV per atom.



Entry 3:
VIrPd2 | PBE | optimized geometry

Unit cell a=4.372 b=5.457 c=4.870 alpha=90.00 beta=90.00 gamma=90.00
Space group Pmmn (No. 59, origin choice 2)
Asymmetric unit:
V: 0.250 0.250 0.143 [2 per cell]
Ir: 0.250 0.750 0.153 [2 per cell]
Pd: 0.250 0.501 0.662 [4 per cell]

Summary:
Its volume is 116.2 Å³/cell. The calculation puts the formation energy at -228 meV per atom.



Entry 4:
VIrPd | PBE | optimized geometry

Unit cell a=2.751 b=2.751 c=11.430 alpha=90.00 beta=90.00 gamma=90.00
Space group I4mm (No. 107)
Asymmetric unit:
V: 0.000 0.000 0.000 [2 per cell]
Ir: 0.000 0.000 0.648 [2 per cell]
Pd: 0.000 0.000 0.333 [2 per cell]

Summary:
Its volume is 86.5 Å³/cell. The calculation puts the formation energy at -297 meV per atom.



Entry 5:
VIrPd2 | PBE | optimized geometry

Unit cell a=3.703 b=3.703 c=18.351 alpha=90.00 beta=90.00 gamma=90.00
Space group I-42d (No. 122)
Asymmetric unit:
V: 0.000 0.000 0.000 [4 per cell]
Ir: 0.000 0.000 0.500 [4 per cell]
Pd: 0.250 0.250 0.125 [8 per cell]

Summary:
Its volume is 251.6 Å³/cell. The calculation puts the formation energy at 155 meV per atom.



Entry 6:
VIrPd2 | PBE | optimized geometry

Unit cell a=3.820 b=3.820 c=3.981 alpha=90.00 beta=90.00 gamma=90.00
Space group P4/mmm (No. 123)
Asymmetric unit:
V: 0.000 0.000 0.000 [1 per cell]
Ir: 0.500 0.500 0.000 [1 per cell]
Pd: 0.000 0.500 0.500 [2 per cell]

Summary:
Its volume is 58.1 Å³/cell. The calculation puts the formation energy at -215 meV per atom.